Entry 1:
# Ac2CeTl2

Ac2CeTl2 after structural relaxation (PBE-GGA, the Alexandria database).

```
data_Ac2CeTl2
_symmetry_space_group_name_H-M 'I m m m'
_symmetry_Int_Tables_number 71
_symmetry_space_group_name_Hall '-I 2 2'
_cell_length_a 5.011
_cell_length_b 7.332
_cell_length_c 9.890
_cell_angle_alpha 90.00
_cell_angle_beta 90.00
_cell_angle_gamma 90.00
loop_
_atom_site_label
_atom_site_fract_x
_atom_site_fract_y
_atom_site_fract_z
Ac1 0.000 0.000 0.198
Ce1 0.000 0.500 0.000
Tl1 0.000 0.279 0.500
```

Values from the calculation:
The energy of formation from the pure elements is -210 meV/atom. Its crystal system is orthorhombic.


Entry 2:
# VZnGe2P

VZnGe2P after structural relaxation (PBE-GGA, the Alexandria database).

```
data_VZnGe2P
_symmetry_space_group_name_H-M 'P 4/m m m'
_symmetry_Int_Tables_number 123
_symmetry_space_group_name_Hall '-P 4 2'
_cell_length_a 4.817
_cell_length_b 4.817
_cell_length_c 4.370
_cell_angle_alpha 90.00
_cell_angle_beta 90.00
_cell_angle_gamma 90.00
loop_
_atom_site_label
_atom_site_fract_x
_atom_site_fract_y
_atom_site_fract_z
V1 0.000 0.000 0.000
Zn1 0.500 0.500 0.000
Ge1 0.000 0.500 0.500
P1 0.500 0.500 0.500
```

Values from the calculation:
The energy of formation from the pure elements is 1008 meV/atom. Its crystal system is tetragonal.


Entry 3:
# LaRh4

LaRh4 after structural relaxation (PBE-GGA, the Alexandria database).

```
data_LaRh4
_symmetry_space_group_name_H-M 'P m -3 m'
_symmetry_Int_Tables_number 221
_symmetry_space_group_name_Hall '-P 4 2 3'
_cell_length_a 4.809
_cell_length_b 4.809
_cell_length_c 4.809
_cell_angle_alpha 90.00
_cell_angle_beta 90.00
_cell_angle_gamma 90.00
loop_
_atom_site_label
_atom_site_fract_x
_atom_site_fract_y
_atom_site_fract_z
La1 0.000 0.000 0.000
Rh1 0.000 0.000 0.500
Rh2 0.500 0.500 0.500
```

Values from the calculation:
The energy of formation from the pure elements is 1381 meV/atom. Its crystal system is cubic.


Entry 4:
# P2OsPt

P2OsPt after structural relaxation (PBE-GGA, the Alexandria database).

```
data_P2OsPt
_symmetry_space_group_name_H-M 'R -3 m'
_symmetry_Int_Tables_number 166
_symmetry_space_group_name_Hall '-R 3 2"'
_cell_length_a 2.9759
_cell_length_b 2.9759
_cell_length_c 22.1480
_cell_angle_alpha 90.00
_cell_angle_beta 90.00
_cell_angle_gamma 120.00
loop_
_atom_site_label
_atom_site_fract_x
_atom_site_fract_y
_atom_site_fract_z
P1 0.0000 0.0000 0.2464
Os1 0.0000 0.0000 0.5000
Pt1 0.0000 0.0000 0.0000
```

Values from the calculation:
The energy of formation from the pure elements is -20 meV/atom. Its crystal system is trigonal.


Entry 5:
# BaZnSb2Pd

BaZnSb2Pd after structural relaxation (PBE-GGA, the Alexandria database).

```
data_BaZnSb2Pd
_symmetry_space_group_name_H-M 'I -4 m 2'
_symmetry_Int_Tables_number 119
_symmetry_space_group_name_Hall 'I -4 -2'
_cell_length_a 4.624
_cell_length_b 4.624
_cell_length_c 12.355
_cell_angle_alpha 90.00
_cell_angle_beta 90.00
_cell_angle_gamma 90.00
loop_
_atom_site_label
_atom_site_fract_x
_atom_site_fract_y
_atom_site_fract_z
Ba1 0.000 0.000 0.000
Zn1 0.000 0.500 0.250
Sb1 0.000 0.000 0.368
Pd1 0.000 0.500 0.750
```

Values from the calculation:
The calculation puts the formation energy from raw total energies at -593 meV per atom. Its crystal system is tetragonal.


Entry 6:
# MnTlCuS2

MnTlCuS2 after structural relaxation (PBE-GGA, the Alexandria database).

```
data_MnTlCuS2
_symmetry_space_group_name_H-M 'P 1 2/c 1'
_symmetry_Int_Tables_number 13
_symmetry_space_group_name_Hall '-P 2yc'
_cell_length_a 7.473
_cell_length_b 5.318
_cell_length_c 5.427
_cell_angle_alpha 90.00
_cell_angle_beta 111.20
_cell_angle_gamma 90.00
loop_
_atom_site_label
_atom_site_fract_x
_atom_site_fract_y
_atom_site_fract_z
Mn1 0.000 0.000 0.250
Tl1 0.500 0.271 0.250
Cu1 0.000 0.500 0.000
S1 0.214 0.200 0.607
```

Values from the calculation:
The calculation puts the formation energy from raw total energies at -304 meV per atom. Its crystal system is monoclinic.


Entry 7:
# Re2SbOs

Re2SbOs after structural relaxation (PBE-GGA, the Alexandria database).

```
data_Re2SbOs
_symmetry_space_group_name_H-M 'P 1 2/m 1'
_symmetry_Int_Tables_number 10
_symmetry_space_group_name_Hall '-P 2y'
_cell_length_a 2.872
_cell_length_b 4.069
_cell_length_c 5.705
_cell_angle_alpha 90.00
_cell_angle_beta 98.38
_cell_angle_gamma 90.00
loop_
_atom_site_label
_atom_site_fract_x
_atom_site_fract_y
_atom_site_fract_z
Re1 0.068 0.000 0.222
Sb1 0.500 0.500 0.500
Os1 0.500 0.500 0.000
```

Values from the calculation:
The calculation puts the formation energy from raw total energies at 577 meV per atom. Its crystal system is monoclinic.


Entry 8:
# Ac3Si2Pt4

Ac3Si2Pt4 after structural relaxation (PBE-GGA, the Alexandria database).

```
data_Ac3Si2Pt4
_symmetry_space_group_name_H-M 'C 1 2/m 1'
_symmetry_Int_Tables_number 12
_symmetry_space_group_name_Hall '-C 2y'
_cell_length_a 11.698
_cell_length_b 4.297
_cell_length_c 8.857
_cell_angle_alpha 90.00
_cell_angle_beta 101.88
_cell_angle_gamma 90.00
loop_
_atom_site_label
_atom_site_fract_x
_atom_site_fract_y
_atom_site_fract_z
Ac1 0.000 0.000 0.000
Ac2 0.166 0.500 0.671
Si1 0.109 0.500 0.284
Pt1 0.060 0.000 0.379
Pt2 0.213 0.500 0.076
```

Values from the calculation:
The calculation puts the formation energy from raw total energies at -1107 meV per atom. Its crystal system is monoclinic.


Entry 9:
# SrPa3Cu4S12

SrPa3Cu4S12 after structural relaxation (PBE-GGA, the Alexandria database).

```
data_SrPa3Cu4S12
_symmetry_space_group_name_H-M 'R 3 2'
_symmetry_Int_Tables_number 155
_symmetry_space_group_name_Hall 'R 3 2"'
_cell_length_a 13.4171
_cell_length_b 13.4171
_cell_length_c 10.0875
_cell_angle_alpha 90.00
_cell_angle_beta 90.00
_cell_angle_gamma 120.00
loop_
_atom_site_label
_atom_site_fract_x
_atom_site_fract_y
_atom_site_fract_z
Sr1 0.0000 0.0000 0.0000
Pa1 0.0000 0.5567 0.0000
Cu1 0.0000 0.0000 0.5000
Cu2 0.0000 0.4264 0.5000
S1 0.0000 0.5945 0.5000
S2 0.0000 0.8386 0.5000
S3 0.0479 0.2033 0.1838
```

Values from the calculation:
The calculation puts the formation energy from raw total energies at -944 meV per atom. Its crystal system is trigonal.


Entry 10:
# Pm2SiGeRh6

Pm2SiGeRh6 after structural relaxation (PBE-GGA, the Alexandria database).

```
data_Pm2SiGeRh6
_symmetry_space_group_name_H-M 'F m -3 m'
_symmetry_Int_Tables_number 225
_symmetry_space_group_name_Hall '-F 4 2 3'
_cell_length_a 9.087
_cell_length_b 9.087
_cell_length_c 9.087
_cell_angle_alpha 90.00
_cell_angle_beta 90.00
_cell_angle_gamma 90.00
loop_
_atom_site_label
_atom_site_fract_x
_atom_site_fract_y
_atom_site_fract_z
Pm1 0.250 0.250 0.250
Si1 0.000 0.000 0.000
Ge1 0.000 0.000 0.500
Rh1 0.000 0.000 0.245
```

Values from the calculation:
The calculation puts the formation energy from raw total energies at -531 meV per atom. Its crystal system is cubic.


Entry 11:
# Ti2ReMo4

Ti2ReMo4 after structural relaxation (PBE-GGA, the Alexandria database).

```
data_Ti2ReMo4
_symmetry_space_group_name_H-M 'C m m m'
_symmetry_Int_Tables_number 65
_symmetry_space_group_name_Hall '-C 2 2'
_cell_length_a 4.623
_cell_length_b 18.710
_cell_length_c 2.599
_cell_angle_alpha 90.00
_cell_angle_beta 90.00
_cell_angle_gamma 90.00
loop_
_atom_site_label
_atom_site_fract_x
_atom_site_fract_y
_atom_site_fract_z
Ti1 0.000 0.213 0.000
Re1 0.000 0.500 0.500
Mo1 0.000 0.069 0.000
Mo2 0.000 0.356 0.500
```

Values from the calculation:
The energy of formation from the pure elements is 178 meV/atom. Its crystal system is orthorhombic.


Entry 12:
# ZnW4Au

ZnW4Au after structural relaxation (PBE-GGA, the Alexandria database).

```
data_ZnW4Au
_symmetry_space_group_name_H-M 'F -4 3 m'
_symmetry_Int_Tables_number 216
_symmetry_space_group_name_Hall 'F -4 2 3'
_cell_length_a 7.495
_cell_length_b 7.495
_cell_length_c 7.495
_cell_angle_alpha 90.00
_cell_angle_beta 90.00
_cell_angle_gamma 90.00
loop_
_atom_site_label
_atom_site_fract_x
_atom_site_fract_y
_atom_site_fract_z
Zn1 0.000 0.000 0.000
W1 0.126 0.126 0.374
Au1 0.250 0.250 0.750
```

Values from the calculation:
The energy of formation from the pure elements is 721 meV/atom. Its crystal system is cubic.


Entry 13:
# TlOs2

TlOs2 after structural relaxation (PBE-GGA, the Alexandria database).

```
data_TlOs2
_symmetry_space_group_name_H-M 'I m m a'
_symmetry_Int_Tables_number 74
_symmetry_space_group_name_Hall '-I 2b 2'
_cell_length_a 4.559
_cell_length_b 4.769
_cell_length_c 10.901
_cell_angle_alpha 90.00
_cell_angle_beta 90.00
_cell_angle_gamma 90.00
loop_
_atom_site_label
_atom_site_fract_x
_atom_site_fract_y
_atom_site_fract_z
Tl1 0.000 0.250 0.104
Os1 0.000 0.250 0.558
Os2 0.000 0.250 0.791
```

Values from the calculation:
The energy of formation from the pure elements is 956 meV/atom. Its crystal system is orthorhombic.


Entry 14:
# CeScGe2Pt2

CeScGe2Pt2 after structural relaxation (PBE-GGA, the Alexandria database).

```
data_CeScGe2Pt2
_symmetry_space_group_name_H-M 'P -3 m 1'
_symmetry_Int_Tables_number 164
_symmetry_space_group_name_Hall '-P 3 2"'
_cell_length_a 4.3806
_cell_length_b 4.3806
_cell_length_c 6.9913
_cell_angle_alpha 90.00
_cell_angle_beta 90.00
_cell_angle_gamma 120.00
loop_
_atom_site_label
_atom_site_fract_x
_atom_site_fract_y
_atom_site_fract_z
Ce1 0.0000 0.0000 0.0000
Sc1 0.0000 0.0000 0.5000
Ge1 0.3333 0.6667 0.2743
Pt1 0.3333 0.6667 0.6997
```

Values from the calculation:
The energy of formation from the pure elements is -1072 meV/atom. Its crystal system is trigonal.


Entry 15:
# Ac8Co2Ir

Ac8Co2Ir after structural relaxation (PBE-GGA, the Alexandria database).

```
data_Ac8Co2Ir
_symmetry_space_group_name_H-M 'C 1 2/m 1'
_symmetry_Int_Tables_number 12
_symmetry_space_group_name_Hall '-C 2y'
_cell_length_a 13.338
_cell_length_b 8.507
_cell_length_c 7.094
_cell_angle_alpha 90.00
_cell_angle_beta 90.79
_cell_angle_gamma 90.00
loop_
_atom_site_label
_atom_site_fract_x
_atom_site_fract_y
_atom_site_fract_z
Ac1 0.122 0.000 0.162
Ac2 0.129 0.263 0.665
Ac3 0.132 0.500 0.175
Co1 0.230 0.000 0.516
Ir1 0.000 0.000 0.500
```

Values from the calculation:
The energy of formation from the pure elements is -147 meV/atom. Its crystal system is monoclinic.


Entry 16:
# ScCoSe2

ScCoSe2 after structural relaxation (PBE-GGA, the Alexandria database).

```
data_ScCoSe2
_symmetry_space_group_name_H-M 'P 1 2/m 1'
_symmetry_Int_Tables_number 10
_symmetry_space_group_name_Hall '-P 2y'
_cell_length_a 3.543
_cell_length_b 3.402
_cell_length_c 6.414
_cell_angle_alpha 90.00
_cell_angle_beta 103.99
_cell_angle_gamma 90.00
loop_
_atom_site_label
_atom_site_fract_x
_atom_site_fract_y
_atom_site_fract_z
Sc1 0.000 0.000 0.000
Co1 0.500 0.000 0.500
Se1 0.446 0.500 0.750
```

Values from the calculation:
The calculation puts the formation energy from raw total energies at -637 meV per atom. Its crystal system is monoclinic.


Entry 17:
# Sr2WI

Sr2WI after structural relaxation (PBE-GGA, the Alexandria database).

```
data_Sr2WI
_symmetry_space_group_name_H-M 'I -4 2 d'
_symmetry_Int_Tables_number 122
_symmetry_space_group_name_Hall 'I -4 2bw'
_cell_length_a 8.793
_cell_length_b 8.793
_cell_length_c 8.236
_cell_angle_alpha 90.00
_cell_angle_beta 90.00
_cell_angle_gamma 90.00
loop_
_atom_site_label
_atom_site_fract_x
_atom_site_fract_y
_atom_site_fract_z
Sr1 0.241 0.250 0.125
W1 0.000 0.000 0.000
I1 0.000 0.000 0.500
```

Values from the calculation:
The calculation puts the formation energy from raw total energies at 820 meV per atom. Its crystal system is tetragonal.


Entry 18:
# NiGe

NiGe after structural relaxation (PBE-GGA, the Alexandria database).

```
data_NiGe
_symmetry_space_group_name_H-M 'F -4 3 m'
_symmetry_Int_Tables_number 216
_symmetry_space_group_name_Hall 'F -4 2 3'
_cell_length_a 5.323
_cell_length_b 5.323
_cell_length_c 5.323
_cell_angle_alpha 90.00
_cell_angle_beta 90.00
_cell_angle_gamma 90.00
loop_
_atom_site_label
_atom_site_fract_x
_atom_site_fract_y
_atom_site_fract_z
Ni1 0.000 0.000 0.000
Ge1 0.250 0.250 0.750
```

Values from the calculation:
The energy of formation from the pure elements is 272 meV/atom. Its crystal system is cubic.


Entry 19:
# MgAgSe2

MgAgSe2 after structural relaxation (PBE-GGA, the Alexandria database).

```
data_MgAgSe2
_symmetry_space_group_name_H-M 'I 4/m m m'
_symmetry_Int_Tables_number 139
_symmetry_space_group_name_Hall '-I 4 2'
_cell_length_a 5.178
_cell_length_b 5.178
_cell_length_c 6.115
_cell_angle_alpha 90.00
_cell_angle_beta 90.00
_cell_angle_gamma 90.00
loop_
_atom_site_label
_atom_site_fract_x
_atom_site_fract_y
_atom_site_fract_z
Mg1 0.000 0.000 0.000
Ag1 0.000 0.000 0.500
Se1 0.000 0.500 0.250
```

Values from the calculation:
The calculation puts the formation energy from raw total energies at -272 meV per atom. Its crystal system is tetragonal.


Entry 20:
# KBeZn

KBeZn after structural relaxation (PBE-GGA, the Alexandria database).

```
data_KBeZn
_symmetry_space_group_name_H-M 'F -4 3 m'
_symmetry_Int_Tables_number 216
_symmetry_space_group_name_Hall 'F -4 2 3'
_cell_length_a 6.888
_cell_length_b 6.888
_cell_length_c 6.888
_cell_angle_alpha 90.00
_cell_angle_beta 90.00
_cell_angle_gamma 90.00
loop_
_atom_site_label
_atom_site_fract_x
_atom_site_fract_y
_atom_site_fract_z
K1 0.000 0.000 0.000
Be1 0.250 0.250 0.250
Zn1 0.000 0.000 0.500
```

Values from the calculation:
The energy of formation from the pure elements is 889 meV/atom. Its crystal system is cubic.


| no. | D(E_F) (states/eV per cell) | total DFT energy (no corrections) (eV for the cell shown) |
| --- | --- | --- |
| 1 | 20.312 | -39.9 |
| 2 | 5.715 | -20.0 |
| 3 | 7.387 | -27.4 |
| 4 | 8.649 | -84.5 |
| 5 | 4.828 | -39.2 |
| 6 | 5.940 | -50.8 |
| 7 | 3.387 | -37.9 |
| 8 | 8.768 | -114.6 |
| 9 | 58.731 | -344.9 |
| 10 | 1.460 | -275.9 |
| 11 | 17.011 | -140.6 |
| 12 | 20.950 | -208.2 |
| 13 | 5.447 | -87.8 |
| 14 | 4.303 | -40.0 |
| 15 | 21.799 | -115.1 |
| 16 | 4.061 | -23.0 |
| 17 | 11.376 | -58.4 |
| 18 | 4.649 | -39.4 |
| 19 | 3.679 | -25.0 |
| 20 | 9.391 | -13.7 |